This record from Alexandria describes a relaxed structure of RbBaCd10. The functional is GGA-PBE.

abc: 4.9014 6.2929 10.8934
angles: 90.00 90.00 90.00
With the nearest neighbours (Å) after each atom.
Space group Pmmm (No. 47)
One atom of each set of equivalent atoms:
Rb (0.0000, 0.0000, 0.0000) [1 per cell]  10 Cd 3.60-3.99
Ba (0.0000, 0.5000, 0.5000) [1 per cell]  18 Cd 3.65-3.99
Cd (0.0000, 0.0000, 0.3308) [2 per cell]  6 Cd 3.03-3.07
Cd (0.0000, 0.5000, 0.1640) [2 per cell]  6 Cd 3.03-3.08
Cd (0.5000, 0.0000, 0.5000) [1 per cell]  8 Cd 3.05-3.07
Cd (0.5000, 0.2593, 0.2633) [4 per cell]  8 Cd 3.03-3.26
Cd (0.5000, 0.5000, 0.0000) [1 per cell]  8 Cd 3.03-3.24

Results
Crystal system   orthorhombic
Total DFT energy (no corrections)   -1.14 eV per atom
Calculated volume   28.0 A^3/atom
E_form   -140 meV per atom